Entry 1:
# PtW3C GGA-PBE optimized geometry
data_PtW3C
_chemical_formula_sum 'Pt1 W3 C1'
_symmetry_space_group_name_H-M 'P m -3 m'
_symmetry_Int_Tables_number 221
_symmetry_space_group_name_Hall '-P 4 2 3'
_cell_length_a 4.775
_cell_length_b 4.775
_cell_length_c 4.775
_cell_angle_alpha 90.00
_cell_angle_beta 90.00
_cell_angle_gamma 90.00
loop_
_atom_site_label
_atom_site_fract_x
_atom_site_fract_y
_atom_site_fract_z
Pt1 0.000 0.000 0.000
W1 0.000 0.000 0.500
C1 0.500 0.500 0.500
# ΔE_f (eV per atom): 3.418
# Offset from the most stable computed form (eV per atom): 3.359

***

Entry 2:
# KRbAg GGA-PBE optimized geometry
data_KRbAg
_chemical_formula_sum 'K2 Rb2 Ag2'
_symmetry_space_group_name_H-M 'I 4 m m'
_symmetry_Int_Tables_number 107
_symmetry_space_group_name_Hall 'I 4 -2'
_cell_length_a 4.318
_cell_length_b 4.318
_cell_length_c 16.143
_cell_angle_alpha 90.00
_cell_angle_beta 90.00
_cell_angle_gamma 90.00
loop_
_atom_site_label
_atom_site_fract_x
_atom_site_fract_y
_atom_site_fract_z
K1 0.000 0.000 0.000
Rb1 0.000 0.000 0.750
Ag1 0.000 0.000 0.384
# ΔE_f (eV per atom): 0.064
# Offset from the most stable computed form (eV per atom): 0.045

***

Entry 3:
# La2PrI4 GGA-PBE optimized geometry
data_La2PrI4
_chemical_formula_sum 'La8 Pr4 I16'
_symmetry_space_group_name_H-M 'C 1 2/m 1'
_symmetry_Int_Tables_number 12
_cell_length_a 14.828
_cell_length_b 8.074
_cell_length_c 10.185
_cell_angle_alpha 90.00
_cell_angle_beta 122.41
_cell_angle_gamma 90.00
loop_
_symmetry_equiv_pos_as_xyz
'x,y,z'
'-x,-y,-z'
'-x,y,-z'
'x,-y,z'
'x+1/2,y+1/2,z'
'-x+1/2,-y+1/2,-z'
'-x+1/2,y+1/2,-z'
'x+1/2,-y+1/2,z'
loop_
_atom_site_label
_atom_site_fract_x
_atom_site_fract_y
_atom_site_fract_z
La1 0.000 0.000 0.000
La2 0.000 0.000 0.500
La3 0.250 0.250 0.000
Pr1 0.000 0.500 0.000
Pr2 0.000 0.500 0.500
I1 0.019 0.252 0.269
I2 0.248 0.500 0.738
I3 0.250 0.000 0.740
# Energy relative to the elements, uncorrected (meV/atom): -1099